# CdIn2SnHg8

A relaxed structure of CdIn2SnHg8 (PBE-GGA, the Alexandria database).

abc: 11.4753 6.3209 9.4796
angles: 90.00 101.74 90.00
Last column: nearest neighbours and their distance in Å.
Space group C2/m (No. 12)
Inequivalent atoms, fractional coordinates:
Cd  0.0000  0.0000  0.0000 x2  6 Hg 3.00-3.06
In  0.2332  0.5000  0.3912 x4  4 Hg 2.98-3.15, 1 Sn 3.06
Sn  0.0000  0.5000  0.5000 x2  2 In 3.06, 4 Hg 3.07
Hg  0.1008  0.2515  0.7761 x8  1 Cd 3.06, 1 Sn 3.07, 6 Hg 3.11-3.41, 1 In 3.15
Hg  0.1457  0.5000  0.0652 x4  1 In 3.05, 5 Hg 3.11-3.39
Hg  0.1541  0.0000  0.2960 x4  1 In 2.98, 1 Cd 3.00, 2 Hg 3.28

## Properties
Magnetic moment   0.0000 μB per atom
Crystal system   monoclinic
Formation energy from the elements   68 meV per atom


# CdInSnHg2

A relaxed structure of CdInSnHg2 (PBE-GGA, the Alexandria database).

abc: 4.2068 4.2068 15.4665
angles: 90.00 90.00 90.00
Last column: nearest neighbours and their distance in Å.
Space group I4mm (No. 107)
Inequivalent atoms, fractional coordinates:
Cd  0.0000  0.0000  0.0000 x2  1 In 3.02, 4 Hg 3.11, 4 Sn 3.28
In  0.0000  0.0000  0.1953 x2  1 Cd 3.02, 4 Hg 3.21
Sn  0.0000  0.0000  0.5897 x2  4 Cd 3.28, 4 In 3.39
Hg  0.0000  0.5000  0.3523 x4  4 Hg 2.97, 2 Cd 3.11, 2 In 3.21

## Properties
Magnetic moment   0.0000 μB per atom
Crystal system   tetragonal
Formation energy from the elements   116 meV per atom


# Cd2In4SnHg2

A relaxed structure of Cd2In4SnHg2 (PBE-GGA, the Alexandria database).

abc: 14.6005 4.0363 8.1340
angles: 90.00 98.32 90.00
Last column: nearest neighbours and their distance in Å.
Space group C2/m (No. 12)
Inequivalent atoms, fractional coordinates:
Cd  0.1659  0.0000  0.4730 x4  2 Cd 3.16, 4 In 3.16-3.42, 2 Sn 3.18, 2 Hg 3.30
In  0.0273  0.0000  0.8197 x4  3 In 3.15-3.23, 2 Hg 3.16, 2 Sn 3.27, 1 Cd 3.42
In  0.1978  0.5000  0.7962 x4  3 Hg 3.13-3.14, 3 Cd 3.16-3.29, 2 In 3.23, 1 Sn 3.48
Sn  0.0000  0.5000  0.5000 x2  4 Cd 3.18, 6 In 3.27-3.48
Hg  0.1355  0.5000  0.1479 x4  5 In 3.13-3.16, 2 Cd 3.30

## Properties
Magnetic moment   0.0000 μB per atom
Crystal system   monoclinic
Formation energy from the elements   35 meV per atom


# CdIn2SnHg5

A relaxed structure of CdIn2SnHg5 (PBE-GGA, the Alexandria database).

abc: 3.6128 17.2422 15.4123
angles: 90.00 90.00 90.00
Last column: nearest neighbours and their distance in Å.
Space group Cmc2_1 (No. 36)
Inequivalent atoms, fractional coordinates:
Cd  0.0000  0.0217  0.0000 x4  5 Hg 2.88-3.08
In  0.0000  0.3479  0.2302 x4  6 Hg 3.03-3.13
In  0.0000  0.3511  0.8987 x4  7 Hg 3.08-3.34
Sn  0.0000  0.3189  0.5602 x4  6 Hg 3.03-3.19
Hg  0.0000  0.0036  0.3154 x4  1 Cd 2.88, 3 Hg 3.06-3.19
Hg  0.0000  0.1430  0.5644 x4  1 Cd 3.01, 1 Sn 3.03, 4 In 3.13
Hg  0.0000  0.1721  0.2303 x4  3 In 3.03-3.19, 2 Sn 3.19, 1 Hg 3.19
Hg  0.0000  0.1723  0.8926 x4  1 Cd 3.08, 3 In 3.08-3.11, 2 Sn 3.16, 1 Hg 3.26
Hg  0.0000  0.4832  0.6561 x4  2 Cd 3.01, 2 Hg 3.06, 1 In 3.13, 1 Sn 3.19

## Properties
Magnetic moment   0.0000 μB per atom
Crystal system   orthorhombic
Formation energy from the elements   36 meV per atom